This record from the Alexandria database describes NaMnF5 after structural relaxation. The functional is PBE with a Hubbard U.

It has space group C2/c (No. 15), with a = 8.948 Å, b = 6.570 Å, c = 7.464 Å, α = 90.00°, β = 114.57° and γ = 90.00°. Symmetry generates all atoms from Na at (0.000, 0.031, 0.250), Mn at (0.000, 0.500, 0.000), F at (0.000, 0.434, 0.250), F at (0.019, 0.226, 0.973) and F at (0.221, 0.475, 0.614).

The calculation puts the final energy at -138.78 eV per cell. The density comes out at 2.9 g/cm³.